CsAgTeIrSe | PBE | optimized geometry Values from VASP.

Quantum ESPRESSO input file:
```
&SYSTEM
  ibrav = 0, nat = 5, ntyp = 5
/
ATOMIC_SPECIES
Cs 132.91 Cs.upf
Ag 107.87 Ag.upf
Te 127.60 Te.upf
Ir 192.22 Ir.upf
Se 78.96 Se.upf
CELL_PARAMETERS angstrom
5.584 0.000 0.000
0.000 3.235 0.000
-2.318 0.000 8.269
ATOMIC_POSITIONS crystal
Cs 0.000 0.000 0.000
Ag 0.061 0.500 0.543
Te 0.625 0.500 0.297
Ir 0.581 0.500 0.586
Se 0.420 0.500 0.811
```

## Properties
Magnetic moment (μB/atom): 0.001
E above lowest polymorph (eV per formula unit): 1.756
Energy relative to the elements, uncorrected (eV per atom): 0.042